# 1
Below is a relaxed PmHoGa5Pt2 crystal, with properties calculated at the PBE-GGA level.

Unit cell a=4.765 b=4.765 c=9.107 alpha=90.00 beta=90.00 gamma=90.00
Fractional coordinates of all 9 atoms:
Pm 0.000 0.000 0.000
Ho 0.000 0.000 0.500
Ga 0.000 0.500 0.299
Ga 0.000 0.500 0.701
Ga 0.500 0.000 0.299
Ga 0.500 0.000 0.701
Ga 0.500 0.500 0.000
Pt 0.500 0.500 0.255
Pt 0.500 0.500 0.745

## Properties
SG	No. 123
uncorrected energy	-4.43	eV/atom
formation energy from the elements	-3.3	eV/f.u.


# 2
Below is a relaxed SrSnAs2O8 crystal, with properties calculated at the PBE-GGA level.

Unit cell a=5.150 b=5.150 c=7.649 alpha=90.00 beta=90.00 gamma=120.00
Fractional coordinates of all 12 atoms:
Sr 0.000 0.000 0.000
Sn 0.000 0.000 0.500
As 0.333 0.667 0.741
As 0.667 0.333 0.259
O 0.037 0.326 0.673
O 0.288 0.963 0.673
O 0.326 0.288 0.327
O 0.333 0.667 0.962
O 0.667 0.333 0.038
O 0.674 0.712 0.673
O 0.712 0.037 0.327
O 0.963 0.674 0.327

## Properties
SG	No. 147
uncorrected energy	-6.21	eV/atom
E_form (uncorrected)	-19.9	eV per formula unit


# 3
Below is a relaxed Pa3Bi2N2 crystal, with properties calculated at the PBE-GGA level.

Unit cell a=6.515 b=6.515 c=7.818 alpha=121.67 beta=121.67 gamma=35.77
Fractional coordinates of all 7 atoms:
Pa 0.000 0.000 0.000
Pa 0.194 0.194 0.772
Pa 0.806 0.806 0.228
Bi 0.421 0.421 0.633
Bi 0.579 0.579 0.367
N 0.206 0.206 0.073
N 0.794 0.794 0.927

## Properties
SG	No. 12
uncorrected energy	-8.56	eV/atom
E_form (uncorrected)	-7.0	eV per formula unit


# 4
Below is a relaxed NaHoHg2 crystal, with properties calculated at the PBE-GGA level.

Unit cell a=9.537 b=9.537 c=9.537 alpha=22.40 beta=22.40 gamma=22.40
Fractional coordinates of all 4 atoms:
Na 0.000 0.000 0.000
Ho 0.167 0.167 0.167
Hg 0.581 0.581 0.581
Hg 0.753 0.753 0.753

## Properties
SG	No. 160
uncorrected energy	-1.84	eV/atom
formation energy from the elements	-0.9	eV/f.u.